Density functional theory data (GGA-PBEsol) for a relaxed structure of Li4Cu4Cl10O.

Uncorrected energy in eV/atom: -3.666
Symmetry: C2/c, No. 15
Magnetic moment in μB/f.u.: 2.05

```
38
Lattice="7.946 -7.037 0.000 7.946 7.037 0.000 -0.949 0.000 6.912" Properties=species:S:1:pos:R:3 pbc="T T T"
Li 3.076 2.500 2.176
Li 3.686 1.172 5.614
Li 4.161 -1.172 2.158
Li 2.601 -2.500 5.633
Li 12.341 2.500 1.280
Li 10.781 1.172 4.754
Li 11.256 -1.172 1.298
Li 11.866 -2.500 4.736
Cu 6.633 4.638 0.574
Cu 8.784 4.638 2.882
Cu 6.329 2.310 2.415
Cu 9.087 2.310 1.041
Cu 5.854 -2.310 5.871
Cu 8.613 -2.310 4.497
Cu 6.158 -4.638 4.030
Cu 8.309 -4.638 6.338
Cl 4.887 4.103 2.564
Cl 7.708 6.220 1.728
Cl 2.777 1.004 0.361
Cl 5.328 2.978 6.033
Cl 2.303 -1.004 3.817
Cl 4.773 0.934 3.258
Cl 10.530 4.103 0.892
Cl 4.298 -0.934 6.714
Cl 9.140 2.978 4.335
Cl 7.708 0.706 1.728
Cl 7.234 -0.706 5.184
Cl 5.802 -2.978 2.577
Cl 10.644 0.934 0.198
Cl 4.412 -4.103 6.020
Cl 10.169 -0.934 3.654
Cl 12.639 1.004 3.095
Cl 9.614 -2.978 0.879
Cl 12.165 -1.004 6.551
Cl 7.234 -6.220 5.184
Cl 10.055 -4.103 4.348
O 7.708 3.493 1.728
O 7.234 -3.493 5.184
```


Density functional theory data (GGA-PBEsol) for a relaxed structure of Rb2LuCuCl6.

Uncorrected energy in eV/atom: -4.105
Symmetry: Fm-3m, No. 225
Magnetic moment in μB/f.u.: 0.04

```
10
Lattice="0.000 5.028 5.028 5.028 0.000 5.028 5.028 5.028 0.000" Properties=species:S:1:pos:R:3 pbc="T T T"
Rb 2.514 2.514 2.514
Rb 7.542 7.542 7.542
Lu 0.000 0.000 0.000
Cu 5.028 5.028 5.028
Cl 5.028 5.028 2.546
Cl 5.028 2.546 5.028
Cl 7.510 5.028 5.028
Cl 2.546 5.028 5.028
Cl 5.028 7.510 5.028
Cl 5.028 5.028 7.510
```


Density functional theory data (GGA-PBEsol) for a relaxed structure of MgCuCl2.

Energy relative to the lowest polymorph listed for this composition in eV/atom: 0.109
Uncorrected energy in eV/atom: -2.863
Symmetry: P4/mmm, No. 123
Magnetic moment in μB/f.u.: 0.00

```
4
Lattice="4.512 0.000 0.000 0.000 4.512 0.000 0.000 0.000 3.330" Properties=species:S:1:pos:R:3 pbc="T T T"
Mg 0.000 0.000 0.000
Cu 2.256 2.256 0.000
Cl 0.000 2.256 1.665
Cl 2.256 0.000 1.665
```


> Number 3 is which compound?

MgCuCl2


> What is the formula in the second record?

Rb2LuCuCl6